ScSiP at its PBEsol-relaxed geometry, computed with meta-GGA SCAN.

a = 6.0857 Å, b = 6.0857 Å, c = 6.0857 Å
α = 90.00°, β = 90.00°, γ = 90.00°
Space group F-43m (No. 216)
Symmetry-distinct sites (fractional):
Sc1 0.0000 0.0000 0.0000
Si1 0.0000 0.0000 0.5000
P1 0.2500 0.2500 0.2500

* total DFT energy (no corrections): -11.680 eV/atom
* raw formation energy: -0.4 eV per formula unit
* total magnetization: 0.00 μB per atom
* crystal system: cubic

---

ZnRe2Hg at its PBEsol-relaxed geometry, computed with meta-GGA SCAN.

a = 3.0020 Å, b = 4.5123 Å, c = 9.2271 Å
α = 90.00°, β = 90.00°, γ = 90.00°
Space group Cmmm (No. 65)
Symmetry-distinct sites (fractional):
Zn1 0.0000 0.0000 0.0000
Re1 0.0000 0.5000 0.2333
Hg1 0.0000 0.0000 0.5000

* energy above the most stable polymorph in this dataset: 102 meV per atom
* formation enthalpy at 0 K: 0.682 eV/atom
* total DFT energy (no corrections): -55.287 eV/atom
* total magnetization: 0.00 μB per atom
* crystal system: orthorhombic

---

Mg2CdAs at its PBEsol-relaxed geometry, computed with meta-GGA SCAN.

a = 3.8887 Å, b = 4.4326 Å, c = 4.6196 Å
α = 90.00°, β = 90.00°, γ = 90.00°
Space group Pmmm (No. 47)
Symmetry-distinct sites (fractional):
Mg1 0.0000 0.0000 0.0000
Mg2 0.0000 0.5000 0.5000
Cd1 0.5000 0.0000 0.5000
As1 0.5000 0.5000 0.0000

* energy above the most stable polymorph in this dataset: 27 meV per atom
* formation enthalpy at 0 K: -0.234 eV/atom
* total DFT energy (no corrections): -15.372 eV/atom
* total magnetization: 0.00 μB per atom
* crystal system: orthorhombic

---

ErThRu2 at its PBEsol-relaxed geometry, computed with meta-GGA SCAN.

a = 6.8280 Å, b = 6.8280 Å, c = 6.8280 Å
α = 90.00°, β = 90.00°, γ = 90.00°
Space group Fm-3m (No. 225)
Symmetry-distinct sites (fractional):
Er1 0.0000 0.0000 0.0000
Th1 0.0000 0.0000 0.5000
Ru1 0.2500 0.2500 0.2500

* formation enthalpy at 0 K: -0.524 eV/atom
* total DFT energy (no corrections): -54.502 eV/atom
* total magnetization: 0.00 μB per atom
* crystal system: cubic

---

Li2CuNi at its PBEsol-relaxed geometry, computed with meta-GGA SCAN.

a = 3.4926 Å, b = 3.4926 Å, c = 7.5465 Å
α = 90.00°, β = 90.00°, γ = 90.00°
Space group I4/mmm (No. 139)
Symmetry-distinct sites (fractional):
Li1 0.0000 0.5000 0.2500
Cu1 0.0000 0.0000 0.0000
Ni1 0.0000 0.0000 0.5000

* energy above the most stable polymorph in this dataset: 60 meV per atom
* formation enthalpy at 0 K: 0.068 eV/atom
* total DFT energy (no corrections): -8.970 eV/atom
* total magnetization: 0.00 μB per atom
* crystal system: tetragonal

---

Sr5P3O13 at its PBEsol-relaxed geometry, computed with meta-GGA SCAN.

a = 9.7455 Å, b = 9.7455 Å, c = 7.2654 Å
α = 90.00°, β = 90.00°, γ = 120.00°
Space group P6_3/m (No. 176)
Symmetry-distinct sites (fractional):
Sr1 0.0136 0.7552 0.2500
Sr2 0.3333 0.6667 0.0002
P1 0.0334 0.6333 0.7500
O1 0.0000 0.0000 0.2500
O2 0.0867 0.7410 0.5770
O3 0.1222 0.5380 0.7500
O4 0.1486 0.4807 0.2500

* total DFT energy (no corrections): -13.766 eV/atom
* raw formation energy: -65.5 eV per formula unit
* total magnetization: 0.05 μB per atom
* crystal system: hexagonal

---

LaZrMn2 at its PBEsol-relaxed geometry, computed with meta-GGA SCAN.

a = 6.6654 Å, b = 6.6654 Å, c = 6.6654 Å
α = 90.00°, β = 90.00°, γ = 90.00°
Space group F-43m (No. 216)
Symmetry-distinct sites (fractional):
La1 0.0000 0.0000 0.0000
Zr1 0.2500 0.2500 0.2500
Mn1 0.0000 0.0000 0.5000
Mn2 0.2500 0.2500 0.7500

* energy above the most stable polymorph in this dataset: 161 meV per atom
* formation enthalpy at 0 K: 0.147 eV/atom
* total DFT energy (no corrections): -27.432 eV/atom
* total magnetization: 1.64 μB per atom
* crystal system: cubic

---

InRe2Mo at its PBEsol-relaxed geometry, computed with meta-GGA SCAN.

a = 2.7880 Å, b = 4.1915 Å, c = 5.5433 Å
α = 90.00°, β = 96.63°, γ = 90.00°
Space group P2/m (No. 10)
Symmetry-distinct sites (fractional):
In1 0.0000 0.0000 0.0000
Re1 0.4171 0.5000 0.7277
Mo1 0.0000 0.0000 0.5000

* formation enthalpy at 0 K: 0.432 eV/atom
* total DFT energy (no corrections): -52.184 eV/atom
* total magnetization: 0.00 μB per atom
* crystal system: monoclinic

---

SbTe2RuI at its PBEsol-relaxed geometry, computed with meta-GGA SCAN.

a = 5.1920 Å, b = 5.1920 Å, c = 5.1242 Å
α = 90.00°, β = 90.00°, γ = 90.00°
Space group P4/mmm (No. 123)
Symmetry-distinct sites (fractional):
Sb1 0.0000 0.0000 0.0000
Te1 0.0000 0.5000 0.5000
Ru1 0.0000 0.0000 0.5000
I1 0.5000 0.5000 0.0000

* total DFT energy (no corrections): -36.258 eV/atom
* raw formation energy: 2.0 eV per formula unit
* total magnetization: 0.00 μB per atom
* crystal system: tetragonal

---

NaGe at its PBEsol-relaxed geometry, computed with meta-GGA SCAN.

a = 11.7954 Å, b = 6.4500 Å, c = 11.4239 Å
α = 90.00°, β = 116.50°, γ = 90.00°
Space group P2_1/c (No. 14)
Symmetry-distinct sites (fractional):
Na1 0.0936 0.0500 0.2372
Na2 0.1384 0.6453 0.0452
Na3 0.3876 0.1736 0.7626
Na4 0.4016 0.6932 0.8886
Ge1 0.1267 0.1671 0.9991
Ge2 0.1911 0.5182 0.3399
Ge3 0.3167 0.1953 0.4735
Ge4 0.3348 0.5440 0.5880

* formation enthalpy at 0 K: -0.190 eV/atom
* total DFT energy (no corrections): -11.841 eV/atom
* total magnetization: 0.00 μB per atom
* crystal system: monoclinic

---

CsBe3Mo at its PBEsol-relaxed geometry, computed with meta-GGA SCAN.

a = 4.6141 Å, b = 4.6141 Å, c = 4.6141 Å
α = 90.00°, β = 90.00°, γ = 90.00°
Space group Pm-3m (No. 221)
Symmetry-distinct sites (fractional):
Cs1 0.0000 0.0000 0.0000
Be1 0.0000 0.0000 0.5000
Mo1 0.5000 0.5000 0.5000

* formation enthalpy at 0 K: 3.093 eV/atom
* total DFT energy (no corrections): -14.058 eV/atom
* total magnetization: 0.49 μB per atom
* crystal system: cubic

---

YTiCdAs2 at its PBEsol-relaxed geometry, computed with meta-GGA SCAN.

a = 4.8086 Å, b = 4.8086 Å, c = 5.3246 Å
α = 90.00°, β = 90.00°, γ = 90.00°
Space group P4/mmm (No. 123)
Symmetry-distinct sites (fractional):
Y1 0.0000 0.0000 0.0000
Ti1 0.0000 0.0000 0.5000
Cd1 0.5000 0.5000 0.0000
As1 0.0000 0.5000 0.5000

* formation enthalpy at 0 K: 0.048 eV/atom
* total DFT energy (no corrections): -22.886 eV/atom
* total magnetization: 0.00 μB per atom
* crystal system: tetragonal